[1]
Density functional theory data (GGA-PBE) for PbS2IN after structural relaxation.

```
PbS2IN
1.0
5.3035 0.0000 0.0000
0.0000 5.3035 0.0000
0.0000 0.0000 3.9966
N Pb S I
1 1 2 1
Direct
0.0000 0.0000 0.5000 N
0.5000 0.5000 0.5000 Pb
0.0000 0.5000 0.0000 S
0.5000 0.0000 0.0000 S
0.0000 0.0000 0.0000 I
```

---

[2]
Density functional theory data (GGA-PBE) for PbSI2N after structural relaxation.

```
PbSI2N
1.0
6.2737 0.0000 0.0000
0.0000 6.2737 0.0000
0.0000 0.0000 4.8511
N I S Pb
1 2 1 1
Direct
0.0000 0.0000 0.5000 N
0.0000 0.5000 0.0000 I
0.5000 0.0000 0.0000 I
0.5000 0.5000 0.5000 S
0.0000 0.0000 0.0000 Pb
```

---

[3]
Density functional theory data (GGA-PBE) for PbSI2N after structural relaxation.

```
PbSI2N
1.0
-4.9017 -2.0406 3.1720
1.3078 -5.7984 -1.7092
2.0459 -0.3955 2.9071
S Pb I N
1 1 2 1
Direct
0.0000 0.0000 0.0000 S
0.5000 0.5000 0.5000 Pb
0.0000 0.5000 0.0000 I
0.5000 0.0000 0.0000 I
0.0000 0.0000 0.5000 N
```

---

Table of final energy (eV/cell), in record order: -17.49; -13.45; -16.24
Table of formation energy from raw total energies (meV/atom), in record order: 869; 1161; 604